[1]
Compound: SbPt2Pb
Source: Alexandria
Functional: GGA-PBE
Structure: relaxed

abc: 4.781 4.781 16.770
angles: 90.00 90.00 90.00
Space group I-42d (No. 122)
Inequivalent atoms, fractional coordinates:
Sb: 0.000 0.000 0.000
Pt: 0.206 0.250 0.125
Pb: 0.000 0.000 0.500

formation energy without anion corrections = -0.0776 eV/atom
raw total energy = -80.9 eV/cell
D(E_F) = 1.63 states/eV/f.u.

---

[2]
Compound: SmSb2Pt7Pb2
Source: Alexandria
Functional: GGA-PBE
Structure: relaxed

abc: 5.735 5.738 16.644
angles: 90.00 99.85 90.00
Space group C2/m (No. 12)
Inequivalent atoms, fractional coordinates:
Sm: 0.000 0.000 0.000
Sb: 0.118 0.500 0.238
Pt: 0.000 0.500 0.000
Pt: 0.184 0.250 0.866
Pt: 0.197 0.500 0.397
Pb: 0.213 0.000 0.428

formation energy without anion corrections = -0.5148 eV/atom
raw total energy = -137.7 eV/cell
D(E_F) = 3.76 states/eV/f.u.

---

[3]
Compound: Sn2SbPtPb
Source: Alexandria
Functional: GGA-PBE
Structure: relaxed

abc: 6.008 6.008 5.056
angles: 90.00 90.00 90.00
Space group P4/mmm (No. 123)
Inequivalent atoms, fractional coordinates:
Sn: 0.000 0.500 0.000
Sb: 0.000 0.000 0.000
Pt: 0.000 0.000 0.500
Pb: 0.500 0.500 0.500

formation energy without anion corrections = 0.5555 eV/atom
raw total energy = -19.1 eV/cell
D(E_F) = 5.23 states/eV/f.u.

---

[4]
Compound: Sr2Sb3Pt4Pb
Source: Alexandria
Functional: GGA-PBE
Structure: relaxed

abc: 4.739 4.739 10.813
angles: 90.00 90.00 90.00
Space group P-4m2 (No. 115)
Inequivalent atoms, fractional coordinates:
Sr: 0.000 0.500 0.237
Sb: 0.000 0.500 0.878
Sb: 0.500 0.500 0.500
Pt: 0.000 0.000 0.000
Pt: 0.000 0.500 0.636
Pt: 0.500 0.500 0.000
Pb: 0.000 0.000 0.500

formation energy without anion corrections = -0.7206 eV/atom
raw total energy = -50.8 eV/cell
D(E_F) = 6.60 states/eV/f.u.

---

[5]
Compound: TbSb2Pt7Pb2
Source: Alexandria
Functional: GGA-PBE
Structure: relaxed

abc: 5.713 5.714 16.605
angles: 90.00 99.82 90.00
Space group C2/m (No. 12)
Inequivalent atoms, fractional coordinates:
Tb: 0.000 0.000 0.000
Sb: 0.117 0.500 0.236
Pt: 0.000 0.500 0.000
Pt: 0.185 0.250 0.869
Pt: 0.197 0.500 0.396
Pb: 0.213 0.000 0.427

formation energy without anion corrections = -0.5499 eV/atom
raw total energy = -138.4 eV/cell
D(E_F) = 3.88 states/eV/f.u.

---

[6]
Compound: SbTe2PtPb
Source: Alexandria
Functional: GGA-PBE
Structure: relaxed

abc: 5.556 5.556 5.056
angles: 90.00 90.00 90.00
Space group P4/mmm (No. 123)
Inequivalent atoms, fractional coordinates:
Sb: 0.000 0.000 0.000
Te: 0.000 0.500 0.500
Pt: 0.000 0.000 0.500
Pb: 0.500 0.500 0.000

formation energy without anion corrections = 0.1431 eV/atom
raw total energy = -19.4 eV/cell
D(E_F) = 4.53 states/eV/f.u.
polymorph energy (0 for the lowest one) = 0 meV per atom